Entry 1:
Density functional theory data (GGA-PBE) for a geometry-optimized PbS3N structure.

energy relative to the lowest polymorph listed for this composition: 911 meV/atom
raw formation energy: 8.7 eV per formula unit

Cell: 5.304 5.304 5.304 Å, 90.00 90.00 90.00°
Space group Pm-3m (No. 221)
Asymmetric unit:
Pb 0.000 0.000 0.000 x1
S 0.000 0.000 0.500 x3
N 0.500 0.500 0.500 x1

=====

Entry 2:
Density functional theory data (GGA-PBE) for a geometry-optimized CaSe structure.

raw formation energy: -3.7 eV per formula unit

Cell: 4.0851 4.0851 3.7472 Å, 90.00 90.00 120.00°
Space group P-6m2 (No. 187)
Asymmetric unit:
Ca 0.0000 0.0000 0.0000 x1
Se 0.3333 0.6667 0.5000 x1

=====

Entry 3:
Density functional theory data (GGA-PBE) for a geometry-optimized ZrAg structure.

DFT formation energy: -1.77 kcal/mol of atoms

Cell: 3.131 3.131 8.430 Å, 90.00 90.00 90.00°
Space group P4/nmm (No. 129, origin choice 2)
Asymmetric unit:
Zr 0.250 0.250 0.130 x2
Ag 0.250 0.250 0.614 x2

=====

Entry 4:
Density functional theory data (GGA-PBE) for a geometry-optimized K5C structure.

energy relative to the lowest polymorph listed for this composition: 387 meV/atom
DFT formation energy: 26.60 kcal/mol of atoms

Cell: 8.0669 8.0669 7.8591 Å, 90.00 90.00 120.00°
Space group P6/mmm (No. 191)
Asymmetric unit:
K 0.0000 0.5000 0.0000 x3
K 0.3333 0.6667 0.5000 x2
C 0.0000 0.0000 0.5000 x1

=====

Entry 5:
Density functional theory data (GGA-PBE) for a geometry-optimized Tl2InMo structure.

energy relative to the lowest polymorph listed for this composition: 151 meV/atom
DFT formation energy: 13.80 kcal/mol of atoms

Cell: 3.2617 3.2617 30.7398 Å, 90.00 90.00 120.00°
Space group R-3m (No. 166, hexagonal axes)
Asymmetric unit:
Tl 0.0000 0.0000 0.2413 x6
In 0.0000 0.0000 0.0000 x3
Mo 0.0000 0.0000 0.5000 x3

=====

Entry 6:
Density functional theory data (GGA-PBE) for a geometry-optimized Sr2NbCd structure.

DFT formation energy: 18.04 kcal/mol of atoms

Cell: 8.942 8.942 6.639 Å, 90.00 90.00 90.00°
Space group I-42d (No. 122)
Asymmetric unit:
Sr 0.241 0.250 0.125 x8
Nb 0.000 0.000 0.500 x4
Cd 0.000 0.000 0.000 x4

=====

Entry 7:
Density functional theory data (GGA-PBE) for a geometry-optimized MgTaRh3 structure.

energy relative to the lowest polymorph listed for this composition: 0 meV/atom
DFT formation energy: 11.50 kcal/mol of atoms

Cell: 4.730 4.730 4.730 Å, 90.00 90.00 90.00°
Space group Pm-3m (No. 221)
Asymmetric unit:
Mg 0.000 0.000 0.000 x1
Ta 0.500 0.500 0.500 x1
Rh 0.000 0.500 0.500 x3

=====

Entry 8:
Density functional theory data (GGA-PBE) for a geometry-optimized KCaC2Se structure.

raw formation energy: 9.9 eV per formula unit

Cell: 4.806 4.806 8.986 Å, 90.00 90.00 90.00°
Space group P4/mmm (No. 123)
Asymmetric unit:
K 0.000 0.000 0.000 x1
Ca 0.000 0.000 0.500 x1
C 0.000 0.500 0.500 x2
Se 0.500 0.500 0.000 x1

=====

Entry 9:
Density functional theory data (GGA-PBE) for a geometry-optimized ScTa2Ru4 structure.

DFT formation energy: -4.30 kcal/mol of atoms

Cell: 4.3856 4.3856 21.4218 Å, 90.00 90.00 120.00°
Space group R-3m (No. 166, hexagonal axes)
Asymmetric unit:
Sc 0.0000 0.0000 0.0000 x3
Ta 0.0000 0.0000 0.2443 x6
Ru 0.0000 0.0000 0.1256 x6
Ru 0.0000 0.0000 0.3774 x6

=====

Entry 10:
Density functional theory data (GGA-PBE) for a geometry-optimized Ba7Sb2P2 structure.

raw formation energy: -8.8 eV per formula unit

Cell: 10.513 11.905 8.011 Å, 90.00 90.06 90.00°
Space group C2/m (No. 12)
Asymmetric unit:
Ba 0.000 0.000 0.000 x2
Ba 0.000 0.500 0.227 x4
Ba 0.250 0.250 0.246 x8
Sb 0.238 0.000 0.500 x4
P 0.000 0.271 0.000 x4

=====

Entry 11:
Density functional theory data (GGA-PBE) for a geometry-optimized Ti4PdRh2 structure.

energy relative to the lowest polymorph listed for this composition: 0 meV/atom
DFT formation energy: -8.34 kcal/mol of atoms

Cell: 7.865 7.865 7.488 Å, 90.00 90.00 90.00°
Space group I-42d (No. 122)
Asymmetric unit:
Ti 0.068 0.175 0.316 x16
Pd 0.000 0.000 0.000 x4
Rh 0.135 0.250 0.625 x8

=====

Entry 12:
Density functional theory data (GGA-PBE) for a geometry-optimized CaAg2Cl structure.

energy relative to the lowest polymorph listed for this composition: 21 meV/atom
raw formation energy: -2.7 eV per formula unit

Cell: 5.566 12.181 3.588 Å, 90.00 129.78 90.00°
Space group C2/m (No. 12)
Asymmetric unit:
Ca 0.000 0.000 0.000 x2
Ag 0.250 0.250 0.500 x4
Cl 0.000 0.500 0.000 x2

=====

Entry 13:
Density functional theory data (GGA-PBE) for a geometry-optimized Be2AlAg structure.

DFT formation energy: 14.31 kcal/mol of atoms

Cell: 6.856 6.856 4.946 Å, 90.00 90.00 90.00°
Space group I-42d (No. 122)
Asymmetric unit:
Be 0.236 0.250 0.125 x8
Al 0.000 0.000 0.500 x4
Ag 0.000 0.000 0.000 x4

=====

Entry 14:
Density functional theory data (GGA-PBE) for a geometry-optimized Sr3Ag5I12 structure.

raw formation energy: -16.7 eV per formula unit

Cell: 18.405 18.405 18.405 Å, 90.00 90.00 90.00°
Space group Ia-3d (No. 230)
Asymmetric unit:
Sr 0.000 0.250 0.125 x24
Ag 0.000 0.000 0.000 x16
Ag 0.000 0.250 0.375 x24
I 0.025 0.061 0.651 x96

=====

Entry 15:
Density functional theory data (GGA-PBE) for a geometry-optimized Nb2AlMo structure.

DFT formation energy: 11.42 kcal/mol of atoms

Cell: 7.325 7.325 5.500 Å, 90.00 90.00 90.00°
Space group I-42d (No. 122)
Asymmetric unit:
Nb 0.227 0.750 0.125 x8
Al 0.000 0.000 0.500 x4
Mo 0.000 0.000 0.000 x4

=====

Entry 16:
Density functional theory data (GGA-PBE) for a geometry-optimized Rb2GaAsH structure.

DFT total energy: -2.86 eV per atom

Cell: 6.934 4.215 10.532 Å, 90.00 101.04 90.00°
Space group P2_1/m (No. 11)
Asymmetric unit:
Rb 0.197 0.250 0.414 x2
Rb 0.275 0.750 0.067 x2
Ga 0.328 0.750 0.713 x2
As 0.171 0.250 0.778 x2
H 0.430 0.250 0.220 x2

=====

Entry 17:
Density functional theory data (GGA-PBE) for a geometry-optimized PuPaF6 structure.

raw formation energy: -28.5 eV per formula unit

Cell: 5.693 5.693 8.270 Å, 90.00 90.00 90.00°
Space group P4_2/m (No. 84)
Asymmetric unit:
Pu 0.000 0.000 0.000 x2
Pa 0.500 0.500 0.250 x2
F 0.217 0.237 0.183 x8
F 0.323 0.332 0.500 x4

=====

Entry 18:
Density functional theory data (GGA-PBE) for a geometry-optimized Dy6ErIn5 structure.

energy relative to the lowest polymorph listed for this composition: 113 meV/atom
DFT formation energy: -5.94 kcal/mol of atoms

Cell: 10.409 11.065 6.151 Å, 90.00 102.76 90.00°
Space group C2/m (No. 12)
Asymmetric unit:
Dy 0.225 0.000 0.225 x4
Dy 0.229 0.176 0.737 x8
Er 0.000 0.500 0.000 x2
In 0.000 0.000 0.500 x2
In 0.000 0.199 0.000 x4
In 0.000 0.361 0.500 x4

=====

Entry 19:
Density functional theory data (GGA-PBE) for a geometry-optimized Li2MgAu structure.

DFT formation energy: -7.42 kcal/mol of atoms

Cell: 3.086 4.788 4.810 Å, 90.00 95.65 90.00°
Space group P2/m (No. 10)
Asymmetric unit:
Li 0.225 0.000 0.271 x2
Mg 0.500 0.500 0.000 x1
Au 0.000 0.500 0.500 x1

=====

Entry 20:
Density functional theory data (GGA-PBE) for a geometry-optimized Rb2GeBi2 structure.

energy relative to the lowest polymorph listed for this composition: 544 meV/atom
DFT formation energy: 9.69 kcal/mol of atoms

Cell: 4.936 4.936 16.404 Å, 90.00 90.00 90.00°
Space group I4/mmm (No. 139)
Asymmetric unit:
Rb 0.000 0.500 0.250 x4
Ge 0.000 0.000 0.000 x2
Bi 0.000 0.000 0.413 x4

=====

Entry 21:
Density functional theory data (GGA-PBE) for a geometry-optimized BeCd4O5 structure.

raw formation energy: -11.5 eV per formula unit

Cell: 7.166 7.166 4.840 Å, 90.00 90.00 90.00°
Space group I4 (No. 79)
Asymmetric unit:
Be 0.000 0.000 0.000 x2
Cd 0.099 0.296 0.557 x8
O 0.000 0.000 0.666 x2
O 0.078 0.260 0.078 x8

=====

Entry 22:
Density functional theory data (GGA-PBE) for a geometry-optimized MgTl2As structure.

energy relative to the lowest polymorph listed for this composition: 202 meV/atom
DFT formation energy: 1.94 kcal/mol of atoms

Cell: 6.282 9.720 3.334 Å, 90.00 90.00 90.00°
Space group Cmmm (No. 65)
Asymmetric unit:
Mg 0.000 0.000 0.000 x2
Tl 0.250 0.250 0.500 x4
As 0.000 0.500 0.000 x2

=====

These records have calculated density values of 3.5 3.6 8.0 0.8 10.9 4.8 8.1 1.5 11.3 4.2 7.2 5.2 4.4 5.0 6.9 3.5 7.3 8.2 5.5 5.5 7.2 8.3 g/cm³, in the order they appear.